# TaTc3

A relaxed TaTc3 crystal (PBE-GGA, Alexandria via LeMat-Bulk).

Calculated values
As for the energy above the most stable polymorph in this dataset: 0.153 eV per atom. The calculation puts the theoretical density at 12691 kg/m³. For the density of states at the Fermi level, the calculation gives 1.311 states/eV/atom. The value obtained for the energy of formation from the pure elements is 0.0553 eV/atom. As for the uncorrected energy: -10.682 eV per atom. Its crystal system is tetragonal. The total magnetic moment is 0.00 μB per atom.

Cell lengths 3.961, 3.961, 7.920 Å; angles 90.00, 90.00, 90.00 degrees
Space group I4/mmm (No. 139)
Asymmetric unit:
Ta 0.000 0.000 0.000 [2 per cell]
Tc 0.000 0.000 0.500 [2 per cell]
Tc 0.000 0.500 0.250 [4 per cell]

=====

# Ta4Tc

A relaxed Ta4Tc crystal (PBE-GGA, Alexandria via LeMat-Bulk).

Calculated values
As for the energy above the most stable polymorph in this dataset: 0.000 eV per atom. The calculation puts the theoretical density at 15673 kg/m³. For the density of states at the Fermi level, the calculation gives 0.880 states/eV/atom. The value obtained for the energy of formation from the pure elements is -0.2222 eV/atom. As for the uncorrected energy: -11.777 eV per atom. Its crystal system is tetragonal. The total magnetic moment is 0.00 μB per atom.

Cell lengths 7.376, 7.376, 3.201 Å; angles 90.00, 90.00, 90.00 degrees
Space group I4/m (No. 87)
Asymmetric unit:
Ta 0.094 0.709 0.000 [8 per cell]
Tc 0.000 0.000 0.500 [2 per cell]

=====

# TaTc4

A relaxed TaTc4 crystal (PBE-GGA, Alexandria via LeMat-Bulk).

Calculated values
As for the energy above the most stable polymorph in this dataset: 1.942 eV per atom. The calculation puts the theoretical density at 9376 kg/m³. For the density of states at the Fermi level, the calculation gives 0.991 states/eV/atom. The value obtained for the energy of formation from the pure elements is 1.9769 eV/atom. As for the uncorrected energy: -8.686 eV per atom. Its crystal system is cubic. The total magnetic moment is 0.33 μB per atom.

Cell lengths 4.664, 4.664, 4.664 Å; angles 90.00, 90.00, 90.00 degrees
Space group Pm-3m (No. 221)
Asymmetric unit:
Ta 0.000 0.000 0.000 [1 per cell]
Tc 0.000 0.000 0.500 [3 per cell]
Tc 0.500 0.500 0.500 [1 per cell]

=====

# TaTc2

A relaxed TaTc2 crystal (PBE-GGA, Alexandria via LeMat-Bulk).

Calculated values
As for the energy above the most stable polymorph in this dataset: 0.115 eV per atom. The calculation puts the theoretical density at 13234 kg/m³. For the density of states at the Fermi level, the calculation gives 0.952 states/eV/atom. The value obtained for the energy of formation from the pure elements is -0.0830 eV/atom. As for the uncorrected energy: -10.945 eV per atom. Its crystal system is trigonal. The total magnetic moment is 0.00 μB per atom.

Cell lengths 4.4035, 4.4035, 2.8164 Å; angles 90.00, 90.00, 120.00 degrees
Space group P-3m1 (No. 164)
Asymmetric unit:
Ta 0.0000 0.0000 0.0000 [1 per cell]
Tc 0.3333 0.6667 0.3145 [2 per cell]

=====

# Ta3Tc5

A relaxed Ta3Tc5 crystal (PBE-GGA, Alexandria via LeMat-Bulk).

Calculated values
As for the energy above the most stable polymorph in this dataset: 0.000 eV per atom. The calculation puts the theoretical density at 13544 kg/m³. For the density of states at the Fermi level, the calculation gives 0.807 states/eV/atom. The value obtained for the energy of formation from the pure elements is -0.2695 eV/atom. As for the uncorrected energy: -11.193 eV per atom. Its crystal system is orthorhombic. The total magnetic moment is 0.00 μB per atom.

Cell lengths 6.351, 8.914, 4.473 Å; angles 90.00, 90.00, 90.00 degrees
Space group Cmmm (No. 65)
Asymmetric unit:
Ta 0.000 0.000 0.000 [2 per cell]
Ta 0.000 0.255 0.500 [4 per cell]
Tc 0.000 0.500 0.000 [2 per cell]
Tc 0.246 0.000 0.500 [4 per cell]
Tc 0.250 0.250 0.000 [4 per cell]

=====

# Ta2Tc

A relaxed Ta2Tc crystal (PBE-GGA, Alexandria via LeMat-Bulk).

Calculated values
As for the energy above the most stable polymorph in this dataset: 0.674 eV per atom. The calculation puts the theoretical density at 12837 kg/m³. For the density of states at the Fermi level, the calculation gives 1.184 states/eV/atom. The value obtained for the energy of formation from the pure elements is 0.2924 eV/atom. As for the uncorrected energy: -11.065 eV per atom. Its crystal system is cubic. The total magnetic moment is 0.00 μB per atom.

Cell lengths 6.197, 6.197, 6.197 Å; angles 90.00, 90.00, 90.00 degrees
Space group Fm-3m (No. 225)
Asymmetric unit:
Ta 0.250 0.250 0.250 [8 per cell]
Tc 0.000 0.000 0.000 [4 per cell]

=====

# Ta3Tc5

A relaxed Ta3Tc5 crystal (PBE-GGA, Alexandria via LeMat-Bulk).

Calculated values
As for the energy above the most stable polymorph in this dataset: 0.326 eV per atom. The calculation puts the theoretical density at 13073 kg/m³. For the density of states at the Fermi level, the calculation gives 0.621 states/eV/atom. The value obtained for the energy of formation from the pure elements is 0.0567 eV/atom. As for the uncorrected energy: -10.867 eV per atom. Its crystal system is hexagonal. The total magnetic moment is 0.00 μB per atom.

Cell lengths 7.6708, 7.6708, 5.1490 Å; angles 90.00, 90.00, 120.00 degrees
Space group P6_3/mcm (No. 193)
Asymmetric unit:
Ta 0.0000 0.3924 0.2500 [6 per cell]
Tc 0.0000 0.2237 0.7500 [6 per cell]
Tc 0.3333 0.6667 0.0000 [4 per cell]

=====

# Ta5Tc

A relaxed Ta5Tc crystal (PBE-GGA, Alexandria via LeMat-Bulk).

Calculated values
As for the energy above the most stable polymorph in this dataset: 0.020 eV per atom. The calculation puts the theoretical density at 15866 kg/m³. For the density of states at the Fermi level, the calculation gives 1.101 states/eV/atom. The value obtained for the energy of formation from the pure elements is -0.1644 eV/atom. As for the uncorrected energy: -11.769 eV per atom. Its crystal system is orthorhombic. The total magnetic moment is 0.00 μB per atom.

Cell lengths 4.645, 13.891, 3.253 Å; angles 90.00, 90.00, 90.00 degrees
Space group Cmmm (No. 65)
Asymmetric unit:
Ta 0.000 0.000 0.000 [2 per cell]
Ta 0.000 0.169 0.500 [4 per cell]
Ta 0.000 0.340 0.000 [4 per cell]
Tc 0.000 0.500 0.500 [2 per cell]

=====

# TaTc3

A relaxed TaTc3 crystal (PBE-GGA, Alexandria via LeMat-Bulk).

Calculated values
As for the energy above the most stable polymorph in this dataset: 0.158 eV per atom. The calculation puts the theoretical density at 12498 kg/m³. For the density of states at the Fermi level, the calculation gives 1.751 states/eV/atom. The value obtained for the energy of formation from the pure elements is 0.0599 eV/atom. As for the uncorrected energy: -10.678 eV per atom. Its crystal system is cubic. The total magnetic moment is 0.00 μB per atom.

Cell lengths 5.016, 5.016, 5.016 Å; angles 90.00, 90.00, 90.00 degrees
Space group Pm-3n (No. 223)
Asymmetric unit:
Ta 0.000 0.000 0.000 [2 per cell]
Tc 0.000 0.250 0.500 [6 per cell]

=====

# TaTc4

A relaxed TaTc4 crystal (PBE-GGA, Alexandria via LeMat-Bulk).

Calculated values
As for the energy above the most stable polymorph in this dataset: 0.396 eV per atom. The calculation puts the theoretical density at 11153 kg/m³. For the density of states at the Fermi level, the calculation gives 0.947 states/eV/atom. The value obtained for the energy of formation from the pure elements is 0.4310 eV/atom. As for the uncorrected energy: -10.232 eV per atom. Its crystal system is tetragonal. The total magnetic moment is 0.00 μB per atom.

Cell lengths 3.986, 3.986, 10.738 Å; angles 90.00, 90.00, 90.00 degrees
Space group I4/mmm (No. 139)
Asymmetric unit:
Ta 0.000 0.000 0.000 [2 per cell]
Tc 0.000 0.000 0.393 [4 per cell]
Tc 0.000 0.500 0.250 [4 per cell]

=====

# Ta5Tc3

A relaxed Ta5Tc3 crystal (PBE-GGA, Alexandria via LeMat-Bulk).

Calculated values
As for the energy above the most stable polymorph in this dataset: 0.350 eV per atom. The calculation puts the theoretical density at 14519 kg/m³. For the density of states at the Fermi level, the calculation gives 0.898 states/eV/atom. The value obtained for the energy of formation from the pure elements is -0.0663 eV/atom. As for the uncorrected energy: -11.361 eV per atom. Its crystal system is monoclinic. The total magnetic moment is 0.00 μB per atom.

Cell lengths 11.530, 10.347, 5.120 Å; angles 90.00, 116.12, 90.00 degrees
Space group C2/c (No. 15)
Asymmetric unit:
Ta 0.000 0.000 0.250 [4 per cell]
Ta 0.070 0.271 0.070 [8 per cell]
Ta 0.230 0.430 0.729 [8 per cell]
Tc 0.000 0.500 0.250 [4 per cell]
Tc 0.178 0.178 0.678 [8 per cell]

=====

# Ta2Tc

A relaxed Ta2Tc crystal (PBE-GGA, Alexandria via LeMat-Bulk).

Calculated values
As for the energy above the most stable polymorph in this dataset: 0.386 eV per atom. The calculation puts the theoretical density at 14801 kg/m³. For the density of states at the Fermi level, the calculation gives 0.795 states/eV/atom. The value obtained for the energy of formation from the pure elements is 0.0042 eV/atom. As for the uncorrected energy: -11.353 eV per atom. Its crystal system is monoclinic. The total magnetic moment is 0.00 μB per atom.

Cell lengths 5.406, 5.404, 14.377 Å; angles 90.00, 100.63, 90.00 degrees
Space group C2/c (No. 15)
Asymmetric unit:
Ta 0.084 0.125 0.418 [8 per cell]
Ta 0.249 0.125 0.748 [8 per cell]
Tc 0.084 0.375 0.917 [8 per cell]